# NaGePd2

A geometry-optimized NaGePd2 structure (GGA-PBE, Alexandria via LeMat-Bulk).

Computed properties:
formation energy	-0.206	eV/atom
raw total energy	-0.3150	Ry per atom

Unit cell a=3.125 b=3.125 c=8.699 alpha=79.65 beta=79.65 gamma=60.00
Positions (direct):
Na: 0.500 0.500 0.500
Ge: 0.000 0.000 0.000
Pd: 0.737 0.737 0.790
Pd: 0.263 0.263 0.210